Material: ZnSbBr2
Method: DFT, GGA-PBE
State: relaxed

The structure in POSCAR format:
```
ZnSbBr2
1.0
-5.194 -7.399 2.873
-5.850 -7.414 -0.888
-2.709 -9.076 0.508
Sb Zn Br
1 1 2
Direct
0.488 0.488 0.488
0.752 0.752 0.752
0.031 0.031 0.031
0.230 0.230 0.230
```

Summary:
D(E_F), states/eV/atom: 0.2891
Raw formation energy, eV per atom: -0.179
Volume, Å³ per cell: 116.5
M_tot, μB/atom: 0.000